[1]
VASP calculation (PBE) on a relaxed structure of Ca2ZrAgAs.

a b c (Å): 5.646 4.827 5.646
angles (deg): 90.00 90.00 90.00
Each line ends with the local moment (μB).
Fractional coordinates of all 5 atoms:
As1 0.000 0.500 0.000  -0.03
Ca1 0.000 0.000 0.500  0.10
Ca2 0.500 0.000 0.000  0.09
Zr1 0.500 0.500 0.500  1.51
Ag1 0.000 0.000 0.000  0.01

Computed properties:
The value obtained for the volume is 30.77 Å³/atom. The calculation puts the density of states at the Fermi level at 4.4 states/eV/cell. The calculation puts the size of the total moment at 0.66 μB/atom. Its uncorrected energy is -0.2611 Ry/atom.

=====

[2]
VASP calculation (PBE) on a relaxed structure of Cd2AgAs2.

a b c (Å): 4.948 4.948 6.034
angles (deg): 65.79 65.79 90.00
Fractional coordinates of all 5 atoms:
As1 0.375 0.375 0.249
As2 0.625 0.625 0.751
Ag1 0.000 0.000 0.000
Cd1 0.750 0.250 0.500
Cd2 0.250 0.750 0.500

Computed properties:
As for the distance to the lowest polymorph of the same formula: 75 meV/atom. The value obtained for the volume is 24.07 Å³/atom. The calculation puts the density of states at the Fermi level at 2.8 states/eV/cell. The calculation puts the size of the total moment at 0.00 μB/atom.

=====

[3]
VASP calculation (PBE) on a relaxed structure of Cd2Ag2As.

a b c (Å): 8.082 8.082 3.143
angles (deg): 90.00 90.00 90.00
Fractional coordinates of all 10 atoms:
As1 0.000 0.000 0.000
As2 0.500 0.500 0.000
Ag1 0.374 0.874 0.000
Ag2 0.874 0.626 0.000
Ag3 0.626 0.126 0.000
Ag4 0.126 0.374 0.000
Cd1 0.173 0.673 0.500
Cd2 0.673 0.827 0.500
Cd3 0.827 0.327 0.500
Cd4 0.327 0.173 0.500

Computed properties:
As for the distance to the lowest polymorph of the same formula: 0 meV/atom. The value obtained for the volume is 20.53 Å³/atom. The calculation puts the density of states at the Fermi level at 4.4 states/eV/cell. The calculation puts the size of the total moment at 0.00 μB/atom.

=====

[4]
VASP calculation (PBE) on a relaxed structure of CdAg2As.

a b c (Å): 4.808 4.808 4.808
angles (deg): 60.00 60.00 60.00
Fractional coordinates of all 4 atoms:
As1 0.500 0.500 0.500
Ag1 0.000 0.000 0.000
Ag2 0.250 0.250 0.250
Cd1 0.750 0.750 0.750

Computed properties:
As for the distance to the lowest polymorph of the same formula: 93 meV/atom. The value obtained for the volume is 19.65 Å³/atom. The calculation puts the density of states at the Fermi level at 2.0 states/eV/cell. The calculation puts the size of the total moment at 0.00 μB/atom.

=====

[5]
VASP calculation (PBE) on a relaxed structure of Cd2Ag2As.

a b c (Å): 3.835 3.835 7.869
angles (deg): 75.90 75.90 90.00
Fractional coordinates of all 5 atoms:
As1 0.000 0.000 0.000
Ag1 0.750 0.250 0.500
Ag2 0.250 0.750 0.500
Cd1 0.402 0.402 0.196
Cd2 0.598 0.598 0.804

Computed properties:
As for the distance to the lowest polymorph of the same formula: 13 meV/atom. The value obtained for the volume is 21.73 Å³/atom. The calculation puts the density of states at the Fermi level at 2.0 states/eV/cell. The calculation puts the size of the total moment at 0.00 μB/atom.

=====

[6]
VASP calculation (PBE) on a relaxed structure of CdAg2As2.

a b c (Å): 8.098 8.098 3.132
angles (deg): 90.00 90.00 90.00
Fractional coordinates of all 10 atoms:
As1 0.327 0.827 0.000
As2 0.827 0.673 0.000
As3 0.673 0.173 0.000
As4 0.173 0.327 0.000
Ag1 0.127 0.627 0.500
Ag2 0.627 0.873 0.500
Ag3 0.873 0.373 0.500
Ag4 0.373 0.127 0.500
Cd1 0.000 0.000 0.000
Cd2 0.500 0.500 0.000

Computed properties:
As for the distance to the lowest polymorph of the same formula: 14 meV/atom. The value obtained for the volume is 20.54 Å³/atom. The calculation puts the density of states at the Fermi level at 3.9 states/eV/cell. The calculation puts the size of the total moment at 0.00 μB/atom.

=====

[7]
VASP calculation (PBE) on a relaxed structure of CdAg2As.

a b c (Å): 4.885 4.885 5.388
angles (deg): 63.42 63.42 52.11
Fractional coordinates of all 4 atoms:
Cd1 0.690 0.690 0.979
Ag1 0.062 0.062 0.752
Ag2 0.330 0.330 0.175
As1 0.419 0.419 0.594

Computed properties:
As for the distance to the lowest polymorph of the same formula: 96 meV/atom. The value obtained for the volume is 22.00 Å³/atom. The calculation puts the density of states at the Fermi level at 1.7 states/eV/cell. The calculation puts the size of the total moment at 0.00 μB/atom.

=====

[8]
VASP calculation (PBE) on a relaxed structure of CdAg2As.

a b c (Å): 5.303 5.303 5.303
angles (deg): 133.77 133.77 67.44
Fractional coordinates of all 4 atoms:
As1 0.500 0.500 0.000
Ag1 0.000 0.000 0.000
Ag2 0.250 0.750 0.500
Cd1 0.750 0.250 0.500

Computed properties:
As for the distance to the lowest polymorph of the same formula: 26 meV/atom. The value obtained for the volume is 19.12 Å³/atom. The calculation puts the density of states at the Fermi level at 1.4 states/eV/cell. The calculation puts the size of the total moment at 0.00 μB/atom.

=====

[9]
VASP calculation (PBE) on a relaxed structure of CdAg2As.

a b c (Å): 4.233 4.233 4.267
angles (deg): 90.00 90.00 90.00
Fractional coordinates of all 4 atoms:
As1 0.500 0.000 0.500
Ag1 0.000 0.000 0.000
Ag2 0.500 0.500 0.000
Cd1 0.000 0.500 0.500

Computed properties:
As for the distance to the lowest polymorph of the same formula: 0 meV/atom. The value obtained for the volume is 19.11 Å³/atom. The calculation puts the density of states at the Fermi level at 0.9 states/eV/cell. The calculation puts the size of the total moment at 0.00 μB/atom.

=====

[10]
VASP calculation (PBE) on a relaxed structure of CdAg2As.

a b c (Å): 4.801 4.801 4.801
angles (deg): 60.00 60.00 60.00
Fractional coordinates of all 4 atoms:
As1 0.000 0.000 0.000
Ag1 0.250 0.250 0.250
Ag2 0.750 0.750 0.750
Cd1 0.500 0.500 0.500

Computed properties:
As for the distance to the lowest polymorph of the same formula: 96 meV/atom. The value obtained for the volume is 19.57 Å³/atom. The calculation puts the density of states at the Fermi level at 3.7 states/eV/cell. The calculation puts the size of the total moment at 0.00 μB/atom.

=====

[11]
VASP calculation (PBE) on a relaxed structure of Cd2AgAs2.

a b c (Å): 7.426 7.426 4.007
angles (deg): 90.00 90.00 90.00
Fractional coordinates of all 10 atoms:
As1 0.329 0.829 0.000
As2 0.829 0.671 0.000
As3 0.671 0.171 0.000
As4 0.171 0.329 0.000
Ag1 0.000 0.000 0.000
Ag2 0.500 0.500 0.000
Cd1 0.142 0.642 0.500
Cd2 0.642 0.858 0.500
Cd3 0.858 0.358 0.500
Cd4 0.358 0.142 0.500

Computed properties:
As for the distance to the lowest polymorph of the same formula: 0 meV/atom. The value obtained for the volume is 22.10 Å³/atom. The calculation puts the density of states at the Fermi level at 4.3 states/eV/cell. The calculation puts the size of the total moment at 0.00 μB/atom.

=====

[12]
VASP calculation (PBE) on a relaxed structure of CdAg2As.

a b c (Å): 4.194 4.194 9.932
angles (deg): 77.81 77.81 90.00
Fractional coordinates of all 8 atoms:
As1 0.500 0.500 0.000
As2 0.250 0.750 0.500
Ag1 0.611 0.125 0.250
Ag2 0.139 0.625 0.250
Ag3 0.375 0.389 0.750
Ag4 0.875 0.861 0.750
Cd1 0.000 0.000 0.000
Cd2 0.750 0.250 0.500

Computed properties:
As for the distance to the lowest polymorph of the same formula: 100 meV/atom. The value obtained for the volume is 20.84 Å³/atom. The calculation puts the density of states at the Fermi level at 3.5 states/eV/cell. The calculation puts the size of the total moment at 0.00 μB/atom.

=====

- What is the size of the total moment in the eighth record?
  0.00 μB/atom

=====

- Among the records above, which one has the highest volume?
  Ca2ZrAgAs